(1)
Entry from Alexandria: crystalline Pr2Sm2Tl5 at its relaxed geometry (GGA-PBE). Values from VASP.

Calculated values
total energy: -3.622 eV/atom

The structure in Quantum ESPRESSO input format:
```
&SYSTEM
  ibrav = 0, nat = 18, ntyp = 3
/
ATOMIC_SPECIES
Tl 204.38 Tl.upf
Pr 140.91 Pr.upf
Sm 150.36 Sm.upf
CELL_PARAMETERS angstrom
-5.8906 -4.4357 -0.4682
2.8191 -2.7686 -9.2399
5.6175 -2.1312 7.8173
ATOMIC_POSITIONS crystal
Tl 0.4392 0.4924 0.3035
Tl 0.7363 0.8229 0.0889
Tl 0.2637 0.7340 0.9111
Pr 0.0933 0.6922 0.2559
Sm 0.0000 0.9983 0.0000
Tl 0.1474 0.2340 0.9111
Sm 0.5000 0.4983 0.0000
Tl 0.6356 0.6888 0.6965
Tl 0.3644 0.9924 0.3035
Sm 0.7345 0.8757 0.5000
Pr 0.6626 0.1922 0.2559
Pr 0.3374 0.9364 0.7441
Sm 0.2655 0.3757 0.5000
Tl 0.9464 0.5953 0.5000
Tl 0.0536 0.0953 0.5000
Tl 0.5608 0.1888 0.6965
Tl 0.8526 0.3229 0.0889
Pr 0.9067 0.4364 0.7441
```

=====

(2)
Entry from Alexandria: crystalline PrSm6Tl6 at its relaxed geometry (GGA-PBE). Values from VASP.

Calculated values
total energy: -3.865 eV/atom

The structure in Quantum ESPRESSO input format:
```
&SYSTEM
  ibrav = 0, nat = 13, ntyp = 3
/
ATOMIC_SPECIES
Sm 150.36 Sm.upf
Tl 204.38 Tl.upf
Pr 140.91 Pr.upf
CELL_PARAMETERS angstrom
-5.0184 4.0358 -0.9018
-0.5124 -6.2557 -1.6996
-3.7087 -2.3933 9.9275
ATOMIC_POSITIONS crystal
Sm 0.6667 0.3333 0.0000
Tl 0.0000 0.5000 0.7539
Sm 0.3333 0.6667 0.0000
Sm 0.0000 0.0000 0.3357
Tl 0.5000 0.0000 0.7539
Tl 0.5000 0.5000 0.2461
Tl 0.5000 0.5000 0.7539
Tl 0.5000 0.0000 0.2461
Sm 0.0000 0.0000 0.6643
Sm 0.3333 0.6667 0.5000
Pr 0.0000 0.0000 0.0000
Tl 0.0000 0.5000 0.2461
Sm 0.6667 0.3333 0.5000
```

=====

(3)
Entry from Alexandria: crystalline PrSm5Tl2 at its relaxed geometry (GGA-PBE). Values from VASP.

Calculated values
total energy: -4.266 eV/atom
energy above the lowest structure with this stoichiometry: 0.000 eV/atom

The structure in Quantum ESPRESSO input format:
```
&SYSTEM
  ibrav = 0, nat = 8, ntyp = 3
/
ATOMIC_SPECIES
Sm 150.36 Sm.upf
Tl 204.38 Tl.upf
Pr 140.91 Pr.upf
CELL_PARAMETERS angstrom
3.7297 0.0000 0.0000
1.8649 8.3427 -0.5730
1.8649 1.9636 8.1285
ATOMIC_POSITIONS crystal
Sm 0.6368 0.1401 0.5864
Tl 0.7337 0.7663 0.7663
Tl 0.2663 0.2337 0.2337
Sm 0.6368 0.5864 0.1401
Pr 0.0000 0.0000 0.0000
Sm 0.3632 0.8599 0.4136
Sm 0.3632 0.4136 0.8599
Sm 0.0000 0.5000 0.5000
```

=====

(4)
Entry from Alexandria: crystalline Pr4SmTl at its relaxed geometry (GGA-PBE). Values from VASP.

Calculated values
total energy: -4.473 eV/atom
energy above the lowest structure with this stoichiometry: 0.000 eV/atom

The structure in Quantum ESPRESSO input format:
```
&SYSTEM
  ibrav = 0, nat = 6, ntyp = 3
/
ATOMIC_SPECIES
Tl 204.38 Tl.upf
Sm 150.36 Sm.upf
Pr 140.91 Pr.upf
CELL_PARAMETERS angstrom
3.7218 0.0000 0.0000
0.0000 3.7218 0.0000
0.0000 0.0000 14.7519
ATOMIC_POSITIONS crystal
Tl 0.5000 0.5000 0.5000
Sm 0.0000 0.0000 0.0000
Pr 0.5000 0.5000 0.8254
Pr 0.0000 0.0000 0.6474
Pr 0.5000 0.5000 0.1746
Pr 0.0000 0.0000 0.3526
```

=====

What did the fourth record say?
Entry from Alexandria: crystalline Pr4SmTl at its relaxed geometry (GGA-PBE). Values from VASP.

Calculated values
total energy: -4.473 eV/atom
energy above the lowest structure with this stoichiometry: 0.000 eV/atom

The structure in Quantum ESPRESSO input format:
```
&SYSTEM
  ibrav = 0, nat = 6, ntyp = 3
/
ATOMIC_SPECIES
Tl 204.38 Tl.upf
Sm 150.36 Sm.upf
Pr 140.91 Pr.upf
CELL_PARAMETERS angstrom
3.7218 0.0000 0.0000
0.0000 3.7218 0.0000
0.0000 0.0000 14.7519
ATOMIC_POSITIONS crystal
Tl 0.5000 0.5000 0.5000
Sm 0.0000 0.0000 0.0000
Pr 0.5000 0.5000 0.8254
Pr 0.0000 0.0000 0.6474
Pr 0.5000 0.5000 0.1746
Pr 0.0000 0.0000 0.3526
```